Record 1
First-principles (PBE-GGA) data for a geometry-optimized MnNiIrRh structure, as listed in Alexandria.

## Properties
calculated density	12840	kg/m3
SG	No. 216
total energy	-31.22	eV per cell
E_form	-0.01	eV per atom

a = 4.2126 Å, b = 4.2126 Å, c = 4.2126 Å
α = 60.00°, β = 60.00°, γ = 60.00°
Closest atoms and distances in Å follow each position.
Fractional coordinates of all 4 atoms:
Ni1 0.5000 0.5000 0.5000  4 Rh 2.58, 4 Ir 2.58
Ir1 0.7500 0.7500 0.7500  4 Ni 2.58, 4 Mn 2.58
Rh1 0.2500 0.2500 0.2500  4 Mn 2.58, 4 Ni 2.58
Mn1 0.0000 0.0000 0.0000  4 Rh 2.58, 4 Ir 2.58

***

Record 2
First-principles (PBE-GGA) data for a geometry-optimized Pm5NdHo structure, as listed in Alexandria.

## Properties
calculated density	5757	kg/m3
SG	No. 44
total energy	-26.95	eV per cell
excess energy over the best structure of this formula in the dataset	470	kJ/mol of formula units
E_form	0.88	eV per atom

a = 6.2740 Å, b = 8.0325 Å, c = 7.8103 Å
α = 120.95°, β = 113.68°, γ = 90.00°
Closest atoms and distances in Å follow each position.
Fractional coordinates of all 7 atoms:
Pm1 0.1839 0.2518 0.5035  1 Ho 2.98
Pm2 0.1662 0.5000 0.0000  1 Nd 2.93, 2 Pm 3.08
Pm3 0.6804 0.7482 0.4965  1 Ho 2.98
Pm4 0.4333 0.8213 0.0000  2 Pm 2.87-3.08, 1 Nd 3.07
Pm5 0.4333 0.1787 0.0000  2 Pm 2.87-3.08, 1 Nd 3.07
Nd1 0.6998 0.5000 0.0000  3 Pm 2.93-3.07
Ho1 0.9337 0.0000 0.0000  2 Pm 2.98

***

Record 3
First-principles (PBE-GGA) data for a geometry-optimized NdGaRu structure, as listed in Alexandria.

## Properties
calculated density	8112	kg/m3
SG	No. 187
total energy	-18.24	eV per cell
E_form	-0.39	eV per atom

a = 3.9245 Å, b = 4.3559 Å, c = 4.3559 Å
α = 120.00°, β = 90.00°, γ = 90.00°
Closest atoms and distances in Å follow each position.
Fractional coordinates of all 3 atoms:
Ru1 0.1668 0.3333 0.6667  3 Ga 2.51
Nd1 0.6666 0.6667 0.3333  6 Ru 3.19, 6 Ga 3.19
Ga1 0.1666 0.0000 0.0000  3 Ru 2.51

***

Number 1: magnetization 1.780 Bohr magnetons per cell. Number 2: magnetization 0.000 Bohr magnetons per cell. Number 3: magnetization 0.000 Bohr magnetons per cell.